CaGe2MoO6 | PBE with a Hubbard U | optimized geometry

POSCAR file:
```
CaGe2MoO6
1.0
5.828 -0.040 -0.042
1.819 7.069 0.186
1.819 -0.076 7.071
O Ge Ca Mo
12 4 2 2
direct
0.166 0.967 0.794
0.635 0.135 0.614
0.428 0.361 0.357
0.334 0.206 0.033
0.365 0.865 0.386
0.928 0.357 0.361
0.135 0.614 0.135
0.834 0.033 0.206
0.666 0.794 0.967
0.072 0.643 0.639
0.572 0.639 0.643
0.865 0.386 0.865
0.217 0.378 0.208
0.283 0.792 0.622
0.783 0.622 0.792
0.717 0.208 0.378
0.750 0.103 0.897
0.250 0.897 0.103
0.750 0.723 0.277
0.250 0.277 0.723
```

Output
The value obtained for the total magnetization is 8.00 Bohr magnetons per cell. Its total energy is -132.21 eV per cell.